(1)
Below is a relaxed structure of PrUAgO6, with properties calculated at the PBE level.

Results
D(E_F) = 6.59 states/eV per cell
Uncorrected formation energy = -1809 kJ/mol of formula units

POSCAR file:
```
PrUAgO6
1.0
4.502 0.000 0.000
0.000 5.966 0.000
0.000 -2.983 5.167
Pr U Ag O
1 1 1 6
Cartesian
2.251 2.983 1.722
2.251 0.000 0.000
0.000 0.000 3.445
3.316 2.064 3.653
3.316 -1.213 5.127
3.316 -0.851 1.553
1.187 0.851 1.553
1.187 1.213 5.127
1.187 -2.064 3.653
```

(2)
Below is a relaxed structure of LiAc2Hg3, with properties calculated at the PBE level.

Results
D(E_F) = 5.17 states/eV per cell
Final energy = -2.2074 eV per atom

POSCAR file:
```
LiAc2Hg3
1.0
-0.411 2.183 -4.389
-3.302 -2.234 -0.802
-3.273 6.312 6.204
Li Ac Hg
1 2 3
Cartesian
-6.285 4.561 2.858
-1.305 1.600 0.918
-4.018 5.764 0.487
-3.998 2.598 -1.090
-2.263 0.473 -2.310
-4.741 2.670 1.772
```

(3)
Below is a relaxed structure of Cs2ZnBiF6, with properties calculated at the PBE level.

Results
Uncorrected formation energy = -2280 kJ/mol of formula units

POSCAR file:
```
Cs2ZnBiF6
1.0
-5.469 2.975 -0.782
-1.333 -3.893 -4.736
-5.880 -3.799 0.447
Cs Zn Bi F
2 1 1 6
Cartesian
-7.392 -0.612 -1.530
-5.290 -4.105 -3.541
-3.401 -0.459 -2.759
0.000 0.000 0.000
-4.451 -1.711 -1.687
-10.773 -4.247 -3.892
-8.272 -5.930 -3.277
-4.410 1.213 -1.794
-1.909 -0.470 -1.179
-8.231 -3.007 -3.384
```

(4)
Below is a relaxed structure of Tb6PmNd5, with properties calculated at the PBE level.

Results
D(E_F) = 15.95 states/eV per cell
Final energy = -4.6838 eV per atom

POSCAR file:
```
Tb6PmNd5
1.0
4.921 0.018 -1.434
-1.390 8.955 -4.667
0.112 -0.817 9.536
Tb Nd Pm
6 5 1
Cartesian
3.365 4.696 2.440
4.060 0.215 4.775
1.530 5.911 5.317
2.113 2.245 -1.882
-0.417 7.941 -1.340
0.278 3.460 0.995
3.085 1.229 1.440
1.251 2.446 4.323
-0.695 4.478 -2.333
2.392 5.710 -0.888
0.558 6.927 1.995
0.000 0.000 0.000
```

(5)
Below is a relaxed structure of PaSnRhN, with properties calculated at the PBE level.

Results
D(E_F) = 6.91 states/eV per cell
Uncorrected formation energy = -385 kJ/mol of formula units

POSCAR file:
```
PaSnRhN
1.0
-0.436 -2.242 -3.456
3.357 -2.208 1.009
-4.895 -5.523 4.202
Pa Sn Rh N
2 2 2 2
Cartesian
-2.601 -5.932 4.177
-0.834 -1.816 -1.199
-3.574 -4.907 1.153
0.139 -2.841 1.826
-2.448 -2.762 2.101
-0.987 -4.986 0.877
1.460 -2.225 -1.223
0.000 0.000 0.000
```

(6)
Below is a relaxed structure of NiSbAs, with properties calculated at the PBE level.

Results
D(E_F) = 0.89 states/eV per cell
Uncorrected formation energy = 126 kJ/mol of formula units

POSCAR file:
```
NiSbAs
1.0
-1.161 2.547 -3.527
-4.244 -0.036 -1.503
-2.630 3.606 0.596
As Ni Sb
1 1 1
Cartesian
0.000 0.000 0.000
-4.018 3.059 -2.217
-6.026 4.588 -3.326
```

(7)
Below is a relaxed structure of Pr2ErScS4, with properties calculated at the PBE level.

Results
D(E_F) = 3.54 states/eV per cell
Uncorrected formation energy = -1511 kJ/mol of formula units

POSCAR file:
```
Pr2ErScS4
1.0
3.873 0.000 0.000
0.000 6.736 0.121
0.000 -2.352 6.621
Pr Er Sc S
2 1 1 4
Cartesian
1.937 -1.176 3.311
0.000 2.192 3.371
1.937 3.368 0.061
0.000 0.000 0.000
1.937 1.056 1.480
1.937 3.328 5.263
0.000 -0.121 5.174
0.000 4.505 1.569
```

(8)
Below is a relaxed structure of Mg4PbAu, with properties calculated at the PBE level.

Results
D(E_F) = 4.01 states/eV per cell
Final energy = -2.4666 eV per atom

POSCAR file:
```
Mg4PbAu
1.0
-3.700 -1.332 4.125
4.914 -6.440 -1.805
3.477 5.803 3.122
Mg Pb Au
8 2 2
Cartesian
3.528 3.404 2.385
2.871 -1.904 3.892
4.898 0.348 2.446
5.418 -2.751 1.842
-0.726 0.781 3.600
-0.206 -2.317 2.996
1.821 -0.065 1.550
1.164 -5.374 3.057
2.458 -3.119 1.099
2.234 1.149 4.343
-0.923 -0.332 1.033
5.615 -1.637 4.409
```

(9)
Below is a relaxed structure of La6PrDy2Mg, with properties calculated at the PBE level.

Results
D(E_F) = 30.79 states/eV per cell
Final energy = -4.4276 eV per atom

POSCAR file:
```
La6PrDy2Mg
1.0
-7.134 0.277 -6.323
-4.484 -4.140 6.258
-0.397 8.451 2.197
La Pr Dy Mg
12 2 4 2
Cartesian
-1.226 5.934 1.611
-4.529 6.812 1.008
-10.789 -1.346 0.521
-7.486 -2.224 1.124
-2.687 3.799 -0.863
-4.041 5.951 4.447
-9.328 0.789 2.995
-7.974 -1.363 -2.315
-3.911 0.939 4.573
-5.507 0.525 1.683
-8.104 3.649 -2.442
-6.508 4.063 0.449
-5.985 -3.200 4.396
-6.030 7.788 -2.264
-6.758 3.013 4.068
-1.955 0.621 1.488
-5.257 1.575 -1.936
-10.060 3.967 0.643
-3.827 3.449 2.252
-8.188 1.139 -0.120
```

(10)
Below is a relaxed structure of La12Ga6Ru, with properties calculated at the PBE level.

Results
D(E_F) = 22.16 states/eV per cell
Final energy = -4.8887 eV per atom

POSCAR file:
```
La12Ga6Ru
1.0
-0.955 -4.543 7.033
-6.334 -3.960 -3.902
5.768 -5.293 -3.120
La Ga Ru
12 6 1
Cartesian
-1.817 -8.329 2.080
-2.270 -8.283 -1.802
1.298 -8.675 -0.256
0.295 -5.467 -2.068
0.749 -5.514 1.814
-2.820 -5.122 0.268
0.451 -6.360 5.451
-4.951 -7.100 3.721
4.423 -8.135 1.738
-1.972 -7.436 -5.439
3.430 -6.697 -3.709
-5.945 -5.661 -1.726
-4.492 -7.736 0.444
-2.045 -5.504 3.356
-2.799 -5.427 -2.909
2.971 -6.061 -0.432
0.524 -8.292 -3.344
1.278 -8.370 2.921
0.000 0.000 0.000
```

(11)
Below is a relaxed structure of BaNa2In2Sn2, with properties calculated at the PBE level.

Results
D(E_F) = 1.62 states/eV per cell
Final energy = -2.9169 eV per atom

POSCAR file:
```
BaNa2In2Sn2
1.0
5.048 0.000 0.000
2.524 4.371 0.000
2.524 1.457 9.508
Ba Na In Sn
1 2 2 2
Cartesian
0.000 0.000 0.000
2.524 1.457 5.378
7.572 4.371 4.130
5.048 2.914 3.132
5.048 2.914 6.376
7.572 4.371 7.390
2.524 1.457 2.118
```

(12)
Below is a relaxed structure of ErTmCuPb, with properties calculated at the PBE level.

Results
D(E_F) = 3.68 states/eV per cell
Final energy = -4.4825 eV per atom

POSCAR file:
```
ErTmCuPb
1.0
-0.067 1.297 -4.978
3.628 -1.795 -3.175
-1.206 -3.515 -3.559
Pb Tm Cu Er
1 1 1 1
Cartesian
1.767 -3.010 -8.784
1.178 -2.007 -5.856
0.589 -1.003 -2.928
0.000 0.000 0.000
```